Computed, not measured: an optimized crystal structure of LaScBeBr2 at the GGA-PBE level of DFT.

Crystal system: tetragonal
Formation energy (no corrections): -0.313 eV/atom

Lattice parameters (Å, degrees): 5.1128 5.1128 5.0940 90.00 90.00 90.00
With the nearest neighbours (Å) after each atom.
Element x y z (fractional)
La (0.0000, 0.0000, 0.0000)  8 Br 3.61, 4 Be 3.62
Sc (0.5000, 0.5000, 0.5000)  2 Be 2.55, 4 Br 2.56
Be (0.5000, 0.5000, 0.0000)  2 Sc 2.55
Br (0.0000, 0.5000, 0.5000)  2 Sc 2.56
Br (0.5000, 0.0000, 0.5000)  2 Sc 2.56